[1]
DFT (PBE-GGA) results for a geometry-optimized Tl3As2S4 structure.

For the uncorrected formation energy, the calculation gives -1.6 eV per formula unit. The crystal system is monoclinic. For the distance to the lowest polymorph of the same formula, the calculation gives 0.60 kcal/mol of atoms.

Structure (CIF):
```
data_Tl3As2S4
_chemical_formula_sum 'Tl12 As8 S16'
_cell_length_a 13.428
_cell_length_b 12.190
_cell_length_c 6.739
_cell_angle_alpha 90.00
_cell_angle_beta 100.03
_cell_angle_gamma 90.00
_symmetry_space_group_name_H-M 'C 1 2/c 1'
_symmetry_Int_Tables_number 15
_symmetry_space_group_name_Hall '-C 2yc'
loop_
_atom_site_label
_atom_site_type_symbol
_atom_site_fract_x
_atom_site_fract_y
_atom_site_fract_z
_atom_site_occupancy
Tl1 Tl 0.000 0.144 0.250 1
Tl2 Tl 0.141 0.389 0.825 1
As1 As 0.184 0.138 0.678 1
S1 S 0.149 0.364 0.287 1
S2 S 0.150 0.063 0.961 1
```

***

[2]
DFT (PBE-GGA) results for a geometry-optimized Tl4AsS4 structure.

For the uncorrected formation energy, the calculation gives -0.9 eV per formula unit. The crystal system is tetragonal.

Structure (CIF):
```
data_Tl4AsS4
_chemical_formula_sum 'Tl8 As2 S8'
_cell_length_a 8.868
_cell_length_b 8.868
_cell_length_c 6.533
_cell_angle_alpha 90.00
_cell_angle_beta 90.00
_cell_angle_gamma 90.00
_symmetry_space_group_name_H-M 'I 4/m'
_symmetry_Int_Tables_number 87
_symmetry_space_group_name_Hall '-I 4'
loop_
_atom_site_label
_atom_site_type_symbol
_atom_site_fract_x
_atom_site_fract_y
_atom_site_fract_z
_atom_site_occupancy
Tl1 Tl 0.087 0.284 0.000 1
As1 As 0.000 0.000 0.500 1
S1 S 0.078 0.261 0.500 1
```

***

[3]
DFT (PBE-GGA) results for a geometry-optimized Tl4AsS5 structure.

For the uncorrected formation energy, the calculation gives -1.5 eV per formula unit. The crystal system is tetragonal.

Structure (CIF):
```
data_Tl4AsS5
_chemical_formula_sum 'Tl8 As2 S10'
_cell_length_a 9.297
_cell_length_b 9.297
_cell_length_c 5.783
_cell_angle_alpha 90.00
_cell_angle_beta 90.00
_cell_angle_gamma 90.00
_symmetry_space_group_name_H-M 'I 4'
_symmetry_Int_Tables_number 79
_symmetry_space_group_name_Hall 'I 4'
loop_
_atom_site_label
_atom_site_type_symbol
_atom_site_fract_x
_atom_site_fract_y
_atom_site_fract_z
_atom_site_occupancy
Tl1 Tl 0.099 0.695 0.000 1
As1 As 0.000 0.000 0.531 1
S1 S 0.000 0.000 0.919 1
S2 S 0.093 0.725 0.497 1
```

***

Number 1: final energy -3.8395 eV/atom, density of states at the Fermi level 0.254 states/eV/atom. Number 2: final energy -3.4991 eV/atom, density of states at the Fermi level 0.680 states/eV/atom. Number 3: final energy -3.6253 eV/atom, density of states at the Fermi level 0.477 states/eV/atom.